# MgAlSb2

MgAlSb2 after structural relaxation (GGA-PBEsol, the Alexandria database).

Computed properties:
- raw formation energy (eV/atom) = -0.059
- N(E_F) (states/eV per cell) = 1.6
- SG = Cm, No. 8
- M_tot (Bohr magnetons per cell) = 0.00
- energy (eV per cell) = -15.16

abc: 4.0417 4.2272 6.1297
angles: 106.64 109.25 90.00
Closest atoms and distances in Å follow each position.
Element x y z (fractional)
Sb (0.9916, 0.8810, 0.9831)  4 Al 2.87-2.99, 1 Sb 3.12, 1 Mg 3.17
Sb (0.7382, 0.3421, 0.4765)  1 Al 2.78, 4 Mg 2.94
Mg (0.2630, 0.8621, 0.5260)  5 Sb 2.94-3.17, 1 Al 3.07
Al (0.5072, 0.4147, 0.0145)  5 Sb 2.78-2.99, 1 Mg 3.07